# 1
A relaxed La2LuPt crystal, computed with PBE-GGA.

Summary:
* DFT total energy: -0.4111 Ry per atom
* density: 9.3 g/cm3
* ΔH_f (0 K): -0.490 eV/atom

Unit cell a=3.808 b=3.808 c=7.972 alpha=90.00 beta=90.00 gamma=90.00
Space group P4/mmm (No. 123)
Inequivalent atoms, fractional coordinates:
La  0.000  0.000  0.208 x2
Lu  0.500  0.500  0.500 x1
Pt  0.500  0.500  0.000 x1

---

# 2
A relaxed LaLu2Pt crystal, computed with PBE-GGA.

Summary:
* DFT total energy: -0.4163 Ry per atom
* density: 10.7 g/cm3
* ΔH_f (0 K): -0.661 eV/atom

Unit cell a=3.516 b=3.516 c=8.603 alpha=90.00 beta=90.00 gamma=90.00
Space group P4/mmm (No. 123)
Inequivalent atoms, fractional coordinates:
La  0.000  0.000  0.000 x1
Lu  0.500  0.500  0.315 x2
Pt  0.000  0.000  0.500 x1

---

# 3
A relaxed LaLuPt crystal, computed with PBE-GGA.

Summary:
* ΔE to the lowest computed polymorph: 0.0892 eV per atom
* DFT total energy: -0.4322 Ry per atom
* density: 10.1 g/cm3
* ΔH_f (0 K): -0.718 eV/atom

Unit cell a=4.6077 b=4.6077 c=4.5528 alpha=90.00 beta=90.00 gamma=120.00
Space group P3m1 (No. 156)
Inequivalent atoms, fractional coordinates:
La  0.0000  0.0000  0.0000 x1
Lu  0.6667  0.3333  0.5015 x1
Pt  0.3333  0.6667  0.3545 x1

---

# 4
A relaxed LaLuPt crystal, computed with PBE-GGA.

Summary:
* ΔE to the lowest computed polymorph: 0.0000 eV per atom
* DFT total energy: -0.4388 Ry per atom
* density: 9.8 g/cm3
* ΔH_f (0 K): -0.807 eV/atom

Unit cell a=7.002 b=7.002 c=7.002 alpha=90.00 beta=90.00 gamma=90.00
Space group F-43m (No. 216)
Inequivalent atoms, fractional coordinates:
La  0.000  0.000  0.000 x4
Lu  0.000  0.000  0.500 x4
Pt  0.250  0.250  0.250 x4

---

# 5
A relaxed LaLuPt4 crystal, computed with PBE-GGA.

Summary:
* DFT total energy: -0.4925 Ry per atom
* density: 15.6 g/cm3
* ΔH_f (0 K): -1.099 eV/atom

Unit cell a=7.748 b=7.748 c=7.748 alpha=90.00 beta=90.00 gamma=90.00
Space group F-43m (No. 216)
Inequivalent atoms, fractional coordinates:
La  0.000  0.000  0.000 x4
Lu  0.250  0.250  0.250 x4
Pt  0.124  0.124  0.624 x16

---

# 6
A relaxed LaLuTlPt crystal, computed with PBE-GGA.

Summary:
* DFT total energy: -0.3749 Ry per atom
* density: 11.6 g/cm3
* ΔH_f (0 K): -0.637 eV/atom

Unit cell a=7.419 b=7.419 c=7.419 alpha=90.00 beta=90.00 gamma=90.00
Space group F-43m (No. 216)
Inequivalent atoms, fractional coordinates:
La  0.000  0.000  0.000 x4
Lu  0.000  0.000  0.500 x4
Tl  0.250  0.250  0.750 x4
Pt  0.250  0.250  0.250 x4

---

# 7
A relaxed LaLuZnPt crystal, computed with PBE-GGA.

Summary:
* DFT total energy: -0.3611 Ry per atom
* density: 10.3 g/cm3
* ΔH_f (0 K): -0.722 eV/atom

Unit cell a=7.175 b=7.175 c=7.175 alpha=90.00 beta=90.00 gamma=90.00
Space group F-43m (No. 216)
Inequivalent atoms, fractional coordinates:
La  0.000  0.000  0.000 x4
Lu  0.000  0.000  0.500 x4
Zn  0.250  0.250  0.750 x4
Pt  0.250  0.250  0.250 x4

---

# 8
A relaxed LaLuPu crystal, computed with PBE-GGA.

Summary:
* ΔE to the lowest computed polymorph: 0.0000 eV per atom
* DFT total energy: -0.5735 Ry per atom
* density: 10.0 g/cm3
* ΔH_f (0 K): 0.125 eV/atom

Unit cell a=3.541 b=3.541 c=14.807 alpha=90.00 beta=90.00 gamma=90.00
Space group I4mm (No. 107)
Inequivalent atoms, fractional coordinates:
La  0.000  0.000  0.000 x2
Lu  0.000  0.000  0.324 x2
Pu  0.000  0.000  0.667 x2

---

Q: Among the records above, which one has the lowest density?
A: La2LuPt

---

Q: Among the records above, which one has the highest DFT total energy?
A: LaLuZnPt

---

Q: Which formula does entry 1 have?
A: La2LuPt